Entry from Alexandria via LeMat-Bulk: LaInWO6 after structural relaxation (PBE+U).

```
data_LaInWO6
_symmetry_space_group_name_H-M 'P -3 1 c'
_symmetry_Int_Tables_number 163
_symmetry_space_group_name_Hall '-P 3 2c'
_cell_length_a 5.4763
_cell_length_b 5.4763
_cell_length_c 10.2351
_cell_angle_alpha 90.00
_cell_angle_beta 90.00
_cell_angle_gamma 120.00
loop_
_atom_site_label
_atom_site_type_symbol
_atom_site_fract_x
_atom_site_fract_y
_atom_site_fract_z
La1 La 0.0000 0.0000 0.0000
In1 In 0.3333 0.6667 0.2500
W1 W 0.3333 0.6667 0.7500
O1 O 0.0312 0.3795 0.6411
```

Output
E_tot	-7.29	eV/atom
spin magnetization	0.0	μB/f.u.